{
  "formula": "PaMnP2Ru5",
  "functional": "GGA-PBE",
  "state": "relaxed",
  "lattice": [[4.1446, 0.0000, 0.0000], [0.0000, 4.1446, 0.0000], [0.0000, 0.0000, 10.4365]],
  "species": ["Pa", "Mn", "P", "P", "Ru", "Ru", "Ru", "Ru", "Ru"],
  "fractional_positions": [[0.0000, 0.0000, 0.0000], [0.5000, 0.5000, 0.5000], [0.5000, 0.5000, 0.2822], [0.5000, 0.5000, 0.7178], [0.0000, 0.5000, 0.1916], [0.0000, 0.5000, 0.8084], [0.5000, 0.0000, 0.1916], [0.5000, 0.0000, 0.8084], [0.5000, 0.5000, 0.0000]],
  "formation_enthalpy_0k_kj_per_mol_atoms": -4.4
}


{
  "formula": "Pa4MnPSe2",
  "functional": "GGA-PBE",
  "state": "relaxed",
  "lattice": [[6.9941, 0.0000, 0.0000], [0.0000, 3.8637, 0.0000], [-2.2245, 0.0000, 6.7504]],
  "species": ["Pa", "Pa", "Pa", "Pa", "Mn", "P", "Se", "Se"],
  "fractional_positions": [[0.2231, 0.0000, 0.2121], [0.2495, 0.5000, 0.7736], [0.7505, 0.5000, 0.2264], [0.7769, 0.0000, 0.7879], [0.0000, 0.5000, 0.0000], [0.5000, 0.0000, 0.0000], [0.0000, 0.0000, 0.5000], [0.5000, 0.5000, 0.5000]],
  "e_tot_ev_per_atom": -8.357
}


| no. | density (Mg/m³) |
| --- | --- |
| 1 | 7.9 |
| 2 | 10.6 |